10
Lattice="2.9121 0.0000 0.0000 0.0000 8.1290 0.0000 0.0000 0.0000 8.1290" Properties=species:S:1:pos:R:3 comment="Li2As2Pb | the Alexandria database | meta-GGA SCAN | single point on PBEsol structure" volume_a3_per_cell=192 formation_enthalpy_0k_ev_per_atom=-0.36 dos_ef_per_ev_atom=0.259 polymorph_energy_kj_per_mol_atoms=2.7 pbc="T T T"
As 0.0000 5.4584 1.3939
As 0.0000 6.7351 5.4584
As 0.0000 2.6706 6.7351
As 0.0000 1.3939 2.6706
Li 1.4561 0.9967 5.0611
Li 1.4561 5.0611 7.1323
Li 1.4561 3.0678 0.9967
Li 1.4561 7.1323 3.0678
Pb 0.0000 4.0645 4.0645
Pb 0.0000 0.0000 0.0000


4
Lattice="-1.7838 -3.5215 2.6131 2.3507 -1.5483 3.8063 -1.6747 0.8856 4.3385" Properties=species:S:1:pos:R:3 comment="Li2AsPb | the Alexandria database | meta-GGA SCAN | single point on PBEsol structure" volume_a3_per_cell=75 formation_enthalpy_0k_ev_per_atom=-0.38 dos_ef_per_ev_atom=0.321 pbc="T T T"
Li -0.2769 -1.0460 2.6895
Li -0.8308 -3.1381 8.0685
As 0.0000 0.0000 0.0000
Pb -0.5539 -2.0921 5.3790


5
Lattice="-2.3264 -1.5433 -3.2832 3.5848 -1.5770 -1.7989 -1.3100 -2.9635 5.1499" Properties=species:S:1:pos:R:3 comment="Li2As2Pb | the Alexandria database | meta-GGA SCAN | single point on PBEsol structure" volume_a3_per_cell=98 formation_enthalpy_0k_ev_per_atom=-0.39 dos_ef_per_ev_atom=0.159 polymorph_energy_kj_per_mol_atoms=0.0 pbc="T T T"
Li 1.4520 -3.0503 0.4050
Li -1.5036 -3.0335 -0.3372
As 0.4715 -2.6079 -1.9368
As -0.5232 -3.4759 2.0046
Pb 0.0000 0.0000 0.0000


5
Lattice="-5.1475 -0.9649 -2.0307 2.2482 -2.1576 -4.6736 0.0228 -5.0956 2.3634" Properties=species:S:1:pos:R:3 comment="LiAsPb3 | the Alexandria database | meta-GGA SCAN | single point on PBEsol structure" volume_a3_per_cell=177 formation_enthalpy_0k_ev_per_atom=0.36 dos_ef_per_ev_atom=0.938 pbc="T T T"
Pb -2.5738 -0.4825 -1.0153
Pb 1.1241 -1.0788 -2.3368
Pb 0.0114 -2.5478 1.1817
Li -1.4383 -4.1091 -2.1704
As 0.0000 0.0000 0.0000